Entry 1:
ThFeSi3Os after structural relaxation, computed with PBE.

DOS(E_F): 3.04 states/eV/f.u.
total magnetization: 0.000 μB/atom
raw formation energy: -0.29 eV per atom

Cell lengths 7.2440, 10.8266, 5.5562 Å; angles 90.00, 90.00, 90.00 degrees
Space group Cmcm (No. 63)
One atom of each set of equivalent atoms:
Th (0.0000, 0.2398, 0.2500) (multiplicity 4)
Fe (0.0000, 0.0425, 0.7500) (multiplicity 4)
Si (0.0000, 0.2346, 0.7500) (multiplicity 4)
Si (0.2413, 0.0000, 0.0000) (multiplicity 8)
Os (0.0000, 0.4399, 0.7500) (multiplicity 4)


Entry 2:
KMn5Se8 after structural relaxation, computed with PBE.

DOS(E_F): 7.13 states/eV/f.u.
total magnetization: 1.313 μB/atom
raw formation energy: -0.55 eV per atom

Cell lengths 18.8766, 3.6978, 9.0516 Å; angles 90.00, 105.01, 90.00 degrees
Space group C2/m (No. 12)
One atom of each set of equivalent atoms:
K (0.0000, 0.0000, 0.0000) (multiplicity 2)
Mn (0.9999, 0.5001, 0.5000) (multiplicity 2)
Mn (0.1579, 0.0000, 0.4887) (multiplicity 4)
Mn (0.2040, 0.0000, 0.8391) (multiplicity 4)
Se (0.0709, 0.0000, 0.6634) (multiplicity 4)
Se (0.0860, 0.5000, 0.3297) (multiplicity 4)
Se (0.1662, 0.5000, 0.9936) (multiplicity 4)
Se (0.2395, 0.5000, 0.6564) (multiplicity 4)


Entry 3:
BeCo2Si after structural relaxation, computed with PBE.

DOS(E_F): 1.57 states/eV/f.u.
total magnetization: 0.000 μB/atom
raw formation energy: -0.55 eV per atom
relative energy among the computed polymorphs: 50.2 meV per atom

Cell lengths 3.7792, 3.7792, 2.7073 Å; angles 90.00, 90.00, 90.00 degrees
Space group P4/mmm (No. 123)
One atom of each set of equivalent atoms:
Be (0.0000, 0.0000, 0.0000) (multiplicity 1)
Co (0.0000, 0.5000, 0.5000) (multiplicity 2)
Si (0.5000, 0.5000, 0.0000) (multiplicity 1)


Entry 4:
SrHo4 after structural relaxation, computed with PBE.

DOS(E_F): 5.36 states/eV/f.u.
total magnetization: 0.000 μB/atom
energy of formation: 1022 meV per atom

Cell lengths 5.6450, 5.6450, 5.6450 Å; angles 90.00, 90.00, 90.00 degrees
Space group Pm-3m (No. 221)
One atom of each set of equivalent atoms:
Sr (0.0000, 0.0000, 0.0000) (multiplicity 1)
Ho (0.0000, 0.0000, 0.5000) (multiplicity 3)
Ho (0.5000, 0.5000, 0.5000) (multiplicity 1)


Entry 5:
PmGa6Ir after structural relaxation, computed with PBE.

DOS(E_F): 3.60 states/eV/f.u.
total magnetization: 0.000 μB/atom
energy of formation: -453 meV per atom

Cell lengths 4.2623, 4.2623, 8.3543 Å; angles 90.00, 90.00, 90.00 degrees
Space group P4/mmm (No. 123)
One atom of each set of equivalent atoms:
Pm (0.0000, 0.0000, 0.0000) (multiplicity 1)
Ga (0.0000, 0.5000, 0.3286) (multiplicity 4)
Ga (0.5000, 0.5000, 0.1443) (multiplicity 2)
Ir (0.0000, 0.0000, 0.5000) (multiplicity 1)


Entry 6:
MgScHgBi after structural relaxation, computed with PBE.

DOS(E_F): 3.45 states/eV/f.u.
total magnetization: 0.000 μB/atom
energy of formation: -230 meV per atom

Cell lengths 7.3028, 7.3028, 7.3028 Å; angles 90.00, 90.00, 90.00 degrees
Space group F-43m (No. 216)
One atom of each set of equivalent atoms:
Mg (0.0000, 0.0000, 0.0000) (multiplicity 4)
Sc (0.0000, 0.0000, 0.5000) (multiplicity 4)
Hg (0.2500, 0.2500, 0.7500) (multiplicity 4)
Bi (0.2500, 0.2500, 0.2500) (multiplicity 4)


Entry 7:
Nb3AsRu after structural relaxation, computed with PBE.

DOS(E_F): 5.05 states/eV/f.u.
total magnetization: 0.000 μB/atom
energy of formation: 926 meV per atom
relative energy among the computed polymorphs: 0.0 meV per atom

Cell lengths 4.6790, 4.6790, 4.6790 Å; angles 90.00, 90.00, 90.00 degrees
Space group Pm-3m (No. 221)
One atom of each set of equivalent atoms:
Nb (0.0000, 0.0000, 0.5000) (multiplicity 3)
As (0.0000, 0.0000, 0.0000) (multiplicity 1)
Ru (0.5000, 0.5000, 0.5000) (multiplicity 1)


Entry 8:
Li6AgHg after structural relaxation, computed with PBE.

DOS(E_F): 3.15 states/eV/f.u.
total magnetization: 0.000 μB/atom
energy of formation: -195 meV per atom
relative energy among the computed polymorphs: 7.6 meV per atom

Cell lengths 4.1300, 4.1300, 8.1284 Å; angles 90.00, 90.00, 90.00 degrees
Space group P4/mmm (No. 123)
One atom of each set of equivalent atoms:
Li (0.0000, 0.0000, 0.0000) (multiplicity 1)
Li (0.0000, 0.0000, 0.5000) (multiplicity 1)
Li (0.0000, 0.5000, 0.2456) (multiplicity 4)
Ag (0.5000, 0.5000, 0.0000) (multiplicity 1)
Hg (0.5000, 0.5000, 0.5000) (multiplicity 1)


Entry 9:
Ta3TiRe2 after structural relaxation, computed with PBE.

DOS(E_F): 5.06 states/eV/f.u.
total magnetization: 0.000 μB/atom
energy of formation: -294 meV per atom

Cell lengths 3.1956, 3.1956, 9.8371 Å; angles 90.00, 90.00, 90.00 degrees
Space group P4/mmm (No. 123)
One atom of each set of equivalent atoms:
Ta (0.0000, 0.0000, 0.0000) (multiplicity 1)
Ta (0.0000, 0.0000, 0.3231) (multiplicity 2)
Ti (0.5000, 0.5000, 0.5000) (multiplicity 1)
Re (0.5000, 0.5000, 0.1639) (multiplicity 2)


Entry 10:
Cs2TcAu after structural relaxation, computed with PBE.

DOS(E_F): 2.98 states/eV/f.u.
total magnetization: 1.000 μB/atom
energy of formation: 1219 meV per atom

Cell lengths 8.0662, 8.0662, 8.0662 Å; angles 90.00, 90.00, 90.00 degrees
Space group Fm-3m (No. 225)
One atom of each set of equivalent atoms:
Cs (0.2500, 0.2500, 0.2500) (multiplicity 8)
Tc (0.0000, 0.0000, 0.0000) (multiplicity 4)
Au (0.0000, 0.0000, 0.5000) (multiplicity 4)


Entry 11:
Sr2Ag3Sn4Rh after structural relaxation, computed with PBE.

DOS(E_F): 4.30 states/eV/f.u.
total magnetization: 0.000 μB/atom
energy of formation: -389 meV per atom

Cell lengths 4.7232, 4.7232, 11.3765 Å; angles 90.00, 90.00, 90.00 degrees
Space group P-4m2 (No. 115)
One atom of each set of equivalent atoms:
Sr (0.0000, 0.5000, 0.2389) (multiplicity 2)
Ag (0.0000, 0.0000, 0.0000) (multiplicity 1)
Ag (0.0000, 0.5000, 0.6438) (multiplicity 2)
Sn (0.0000, 0.0000, 0.5000) (multiplicity 1)
Sn (0.0000, 0.5000, 0.8840) (multiplicity 2)
Sn (0.5000, 0.5000, 0.5000) (multiplicity 1)
Rh (0.5000, 0.5000, 0.0000) (multiplicity 1)


Entry 12:
NaTeRu3 after structural relaxation, computed with PBE.

DOS(E_F): 4.61 states/eV/f.u.
total magnetization: 0.585 μB/atom
raw formation energy: 1.28 eV per atom
relative energy among the computed polymorphs: 0.0 meV per atom

Cell lengths 4.8862, 4.8862, 4.8862 Å; angles 90.00, 90.00, 90.00 degrees
Space group Pm-3m (No. 221)
One atom of each set of equivalent atoms:
Na (0.0000, 0.0000, 0.0000) (multiplicity 1)
Te (0.5000, 0.5000, 0.5000) (multiplicity 1)
Ru (0.0000, 0.5000, 0.5000) (multiplicity 3)


Entry 13:
Mn2BiOsC after structural relaxation, computed with PBE.

DOS(E_F): 3.99 states/eV/f.u.
total magnetization: 1.687 μB/atom
energy of formation: 3037 meV per atom

Cell lengths 5.1849, 5.1849, 5.0507 Å; angles 90.00, 90.00, 90.00 degrees
Space group P4/mmm (No. 123)
One atom of each set of equivalent atoms:
Mn (0.0000, 0.5000, 0.0000) (multiplicity 2)
Bi (0.0000, 0.0000, 0.0000) (multiplicity 1)
Os (0.0000, 0.0000, 0.5000) (multiplicity 1)
C (0.5000, 0.5000, 0.5000) (multiplicity 1)


Entry 14:
LaSmAu6 after structural relaxation, computed with PBE.

DOS(E_F): 3.30 states/eV/f.u.
total magnetization: 0.000 μB/atom
energy of formation: -655 meV per atom

Cell lengths 8.6373, 4.9248, 8.8300 Å; angles 90.00, 109.65, 90.00 degrees
Space group C2/m (No. 12)
One atom of each set of equivalent atoms:
La (0.0000, 0.0000, 0.0000) (multiplicity 2)
Sm (0.0000, 0.5000, 0.5000) (multiplicity 2)
Au (0.1214, 0.5000, 0.8619) (multiplicity 4)
Au (0.1263, 0.0000, 0.3753) (multiplicity 4)
Au (0.2476, 0.0000, 0.7446) (multiplicity 4)


Entry 15:
DyYRu after structural relaxation, computed with PBE.

DOS(E_F): 1.65 states/eV/f.u.
total magnetization: 0.000 μB/atom
energy of formation: -268 meV per atom
relative energy among the computed polymorphs: 59.6 meV per atom

Cell lengths 6.7674, 6.7674, 6.7674 Å; angles 90.00, 90.00, 90.00 degrees
Space group F-43m (No. 216)
One atom of each set of equivalent atoms:
Dy (0.0000, 0.0000, 0.0000) (multiplicity 4)
Y (0.0000, 0.0000, 0.5000) (multiplicity 4)
Ru (0.2500, 0.2500, 0.7500) (multiplicity 4)


Entry 16:
TaZn2Se after structural relaxation, computed with PBE.

DOS(E_F): 1.28 states/eV/f.u.
total magnetization: 0.000 μB/atom
raw formation energy: 0.22 eV per atom

Cell lengths 2.9215, 4.8191, 4.9598 Å; angles 90.00, 103.40, 90.00 degrees
Space group P2/m (No. 10)
One atom of each set of equivalent atoms:
Ta (0.0000, 0.0000, 0.0000) (multiplicity 1)
Zn (0.3316, 0.5000, 0.7521) (multiplicity 2)
Se (0.5000, 0.0000, 0.5000) (multiplicity 1)


Entry 17:
SrTc2Os after structural relaxation, computed with PBE.

DOS(E_F): 3.65 states/eV/f.u.
total magnetization: 0.000 μB/atom
energy of formation: 777 meV per atom
relative energy among the computed polymorphs: 166.9 meV per atom

Cell lengths 2.8465, 5.0855, 10.3261 Å; angles 90.00, 90.00, 90.00 degrees
Space group Immm (No. 71)
One atom of each set of equivalent atoms:
Sr (0.0000, 0.0000, 0.0000) (multiplicity 2)
Tc (0.0000, 0.5000, 0.2104) (multiplicity 4)
Os (0.0000, 0.0000, 0.5000) (multiplicity 2)


Entry 18:
Sm4Ho9Tm11 after structural relaxation, computed with PBE.

DOS(E_F): 34.88 states/eV/f.u.
total magnetization: 0.000 μB/atom
energy of formation: 58 meV per atom

Cell lengths 20.2546, 20.9989, 3.5019 Å; angles 90.00, 90.00, 90.00 degrees
Space group Cmmm (No. 65)
One atom of each set of equivalent atoms:
Sm (0.1355, 0.0860, 0.0000) (multiplicity 8)
Ho (0.0000, 0.0000, 0.0000) (multiplicity 2)
Ho (0.1214, 0.4152, 0.0000) (multiplicity 8)
Ho (0.1235, 0.2474, 0.0000) (multiplicity 8)
Tm (0.0000, 0.1583, 0.5000) (multiplicity 4)
Tm (0.0000, 0.3309, 0.5000) (multiplicity 4)
Tm (0.0000, 0.5000, 0.5000) (multiplicity 2)
Tm (0.2417, 0.5000, 0.5000) (multiplicity 4)
Tm (0.2462, 0.3315, 0.5000) (multiplicity 8)


Entry 19:
RbCo2ReS after structural relaxation, computed with PBE.

DOS(E_F): 10.30 states/eV/f.u.
total magnetization: 0.574 μB/atom
raw formation energy: 1.63 eV per atom

Cell lengths 4.4709, 4.4709, 6.6464 Å; angles 90.00, 90.00, 90.00 degrees
Space group P4/mmm (No. 123)
One atom of each set of equivalent atoms:
Rb (0.0000, 0.0000, 0.0000) (multiplicity 1)
Co (0.0000, 0.5000, 0.5000) (multiplicity 2)
Re (0.0000, 0.0000, 0.5000) (multiplicity 1)
S (0.5000, 0.5000, 0.0000) (multiplicity 1)


Entry 20:
Nd3InIr after structural relaxation, computed with PBE.

DOS(E_F): 4.79 states/eV/f.u.
total magnetization: 0.000 μB/atom
energy of formation: -475 meV per atom
relative energy among the computed polymorphs: 0.0 meV per atom

Cell lengths 4.1086, 10.7669, 7.3296 Å; angles 90.00, 106.27, 90.00 degrees
Space group P2_1/m (No. 11)
One atom of each set of equivalent atoms:
Nd (0.0628, 0.2500, 0.1239) (multiplicity 2)
Nd (0.3635, 0.0454, 0.7268) (multiplicity 4)
In (0.2508, 0.7500, 0.5053) (multiplicity 2)
Ir (0.0000, 0.0000, 0.0000) (multiplicity 2)


Entry 21:
VTeAs2I after structural relaxation, computed with PBE.

DOS(E_F): 6.17 states/eV/f.u.
total magnetization: 0.098 μB/atom
raw formation energy: 1.49 eV per atom

Cell lengths 5.3188, 5.3188, 5.8276 Å; angles 90.00, 90.00, 90.00 degrees
Space group P4/mmm (No. 123)
One atom of each set of equivalent atoms:
V (0.0000, 0.0000, 0.0000) (multiplicity 1)
Te (0.5000, 0.5000, 0.5000) (multiplicity 1)
As (0.0000, 0.5000, 0.5000) (multiplicity 2)
I (0.5000, 0.5000, 0.0000) (multiplicity 1)


Entry 22:
Tb7Pm12In after structural relaxation, computed with PBE.

DOS(E_F): 32.37 states/eV/f.u.
total magnetization: 0.000 μB/atom
energy of formation: 641 meV per atom
relative energy among the computed polymorphs: 485.2 meV per atom

Cell lengths 11.5392, 11.5392, 11.5392 Å; angles 90.00, 90.00, 90.00 degrees
Space group Im-3 (No. 204)
One atom of each set of equivalent atoms:
Tb (0.0000, 0.0000, 0.5000) (multiplicity 6)
Tb (0.2500, 0.2500, 0.2500) (multiplicity 8)
Pm (0.0000, 0.2212, 0.2223) (multiplicity 24)
In (0.0000, 0.0000, 0.0000) (multiplicity 2)


Entry 23:
Er2AlCu6 after structural relaxation, computed with PBE.

DOS(E_F): 4.65 states/eV/f.u.
total magnetization: 0.000 μB/atom
energy of formation: -254 meV per atom

Cell lengths 5.4804, 5.4804, 5.5460 Å; angles 90.00, 90.00, 120.00 degrees
Space group P-3m1 (No. 164)
One atom of each set of equivalent atoms:
Er (0.3333, 0.6667, 0.1528) (multiplicity 2)
Al (0.0000, 0.0000, 0.0000) (multiplicity 1)
Cu (0.1801, 0.3603, 0.6630) (multiplicity 6)


Entry 24:
GdIn5Rh after structural relaxation, computed with PBE.

DOS(E_F): 3.71 states/eV/f.u.
total magnetization: 0.977 μB/atom
energy of formation: -431 meV per atom

Cell lengths 4.6775, 4.6775, 7.5221 Å; angles 90.00, 90.00, 90.00 degrees
Space group P4/mmm (No. 123)
One atom of each set of equivalent atoms:
Gd (0.0000, 0.0000, 0.0000) (multiplicity 1)
In (0.0000, 0.5000, 0.3011) (multiplicity 4)
In (0.5000, 0.5000, 0.0000) (multiplicity 1)
Rh (0.0000, 0.0000, 0.5000) (multiplicity 1)


Entry 25:
SrTc2Ag after structural relaxation, computed with PBE.

DOS(E_F): 4.04 states/eV/f.u.
total magnetization: 0.000 μB/atom
energy of formation: 572 meV per atom
relative energy among the computed polymorphs: 228.8 meV per atom

Cell lengths 9.7742, 3.7704, 5.5291 Å; angles 90.00, 107.28, 90.00 degrees
Space group C2/m (No. 12)
One atom of each set of equivalent atoms:
Sr (0.0000, 0.0000, 0.0000) (multiplicity 2)
Tc (0.2291, 0.0000, 0.6056) (multiplicity 4)
Ag (0.0000, 0.5000, 0.5000) (multiplicity 2)